1.
38
Lattice="-6.491 6.491 6.491 6.491 -6.491 6.491 6.491 6.491 -6.491" Properties=species:S:1:pos:R:3 comment="Na15Sn4 | Alexandria | meta-GGA SCAN | single point on PBEsol structure" formation_energy_ev_per_fu=-3.6 spacegroup="I-43d, No. 220" pbc="T T T"
Na 5.990 -1.591 1.995
Na 7.741 4.836 -3.746
Na 8.145 2.745 -1.250
Na 6.491 -3.245 4.868
Na 8.486 0.500 1.591
Na 4.836 3.746 -1.250
Na 3.746 1.250 1.654
Na 4.868 6.491 -3.245
Na 3.746 -1.250 4.836
Na 4.836 -3.746 7.741
Na 1.995 5.990 -1.591
Na 6.491 3.245 1.623
Na 1.654 3.746 1.250
Na 1.250 1.654 3.746
Na 5.990 1.591 4.496
Na 2.745 -1.250 8.145
Na 4.496 5.990 1.591
Na -1.591 1.995 5.990
Na 3.245 1.623 6.491
Na -1.250 4.836 3.746
Na 1.591 8.486 0.500
Na 6.991 4.900 4.496
Na 1.623 6.491 3.245
Na 0.500 1.591 8.486
Na 1.591 4.496 5.990
Na -1.250 8.145 2.745
Na -3.245 4.868 6.491
Na 4.900 4.496 6.991
Na 4.496 6.991 4.900
Na -3.746 7.741 4.836
Sn 5.951 0.540 -0.540
Sn 9.196 -2.706 2.706
Sn 0.540 0.540 0.540
Sn 0.540 -0.540 5.951
Sn -0.540 5.951 0.540
Sn 2.706 9.196 -2.706
Sn 3.785 3.785 3.785
Sn -2.706 2.706 9.196


2.
5
Lattice="4.618 0.000 0.000 0.000 4.618 0.000 0.000 0.000 4.618" Properties=species:S:1:pos:R:3 comment="Mg3FeRu | Alexandria | meta-GGA SCAN | single point on PBEsol structure" formation_energy_ev_per_fu=5.3 spacegroup="Pm-3m, No. 221" pbc="T T T"
Mg 0.000 0.000 2.309
Mg 0.000 2.309 0.000
Mg 2.309 0.000 0.000
Fe 0.000 0.000 0.000
Ru 2.309 2.309 2.309


3.
5
Lattice="5.306 0.000 0.000 0.000 5.306 0.000 0.000 0.000 5.194" Properties=species:S:1:pos:R:3 comment="BiS2ICl | Alexandria | meta-GGA SCAN | single point on PBEsol structure" final_energy_ev_per_atom=-28.182 spacegroup="P4/mmm, No. 123" pbc="T T T"
Bi 0.000 0.000 0.000
S 0.000 2.653 0.000
S 2.653 0.000 0.000
I 2.653 2.653 2.597
Cl 0.000 0.000 2.597


4.
14
Lattice="8.904 -1.740 0.000 8.904 1.740 0.000 -7.757 0.000 9.175" Properties=species:S:1:pos:R:3 comment="Sc5CCl8 | Alexandria | meta-GGA SCAN | single point on PBEsol structure" final_energy_ev_per_atom=-12.426 spacegroup="C2/m, No. 12" pbc="T T T"
Sc 0.000 0.000 0.000
Sc -2.342 0.000 6.174
Sc 3.941 0.000 5.639
Sc 6.110 0.000 3.536
Sc 12.393 0.000 3.001
C -3.879 0.000 4.587
Cl -1.339 0.000 2.144
Cl 1.969 0.000 4.011
Cl 4.553 0.000 1.514
Cl -0.386 0.000 8.199
Cl 10.437 0.000 0.976
Cl 5.499 0.000 7.661
Cl 8.083 0.000 5.164
Cl 11.391 0.000 7.031


5.
4
Lattice="2.721 0.000 0.000 0.000 2.975 0.000 0.000 0.000 5.940" Properties=species:S:1:pos:R:3 comment="FeSi2Mo | Alexandria | meta-GGA SCAN | single point on PBEsol structure" final_energy_ev_per_atom=-18.435 spacegroup="Pmmm, No. 47" pbc="T T T"
Fe 0.000 0.000 0.000
Si 1.361 1.487 1.298
Si 1.361 1.487 4.642
Mo 0.000 0.000 2.970


6.
8
Lattice="5.113 0.000 0.000 0.000 5.113 0.000 0.000 0.000 7.265" Properties=species:S:1:pos:R:3 comment="Ba2TcW | Alexandria | meta-GGA SCAN | single point on PBEsol structure" formation_energy_ev_per_fu=6.8 de_polymorph_ev_per_atom=0.000 spacegroup="I-4m2, No. 119" pbc="T T T"
Ba 0.000 0.000 0.000
Ba 0.000 2.557 1.816
Ba 2.557 0.000 5.449
Ba 2.557 2.557 3.633
Tc 0.000 2.557 5.449
Tc 2.557 0.000 1.816
W 0.000 0.000 3.633
W 2.557 2.557 0.000


7.
5
Lattice="5.325 0.000 0.000 0.000 5.325 0.000 0.000 0.000 4.565" Properties=species:S:1:pos:R:3 comment="Bi2MoAsRu | Alexandria | meta-GGA SCAN | single point on PBEsol structure" formation_energy_ev_per_fu=8.0 spacegroup="P4/mmm, No. 123" pbc="T T T"
Bi 0.000 2.662 0.000
Bi 2.662 0.000 0.000
Mo 0.000 0.000 2.282
As 0.000 0.000 0.000
Ru 2.662 2.662 2.282


8.
16
Lattice="7.089 0.000 0.000 0.000 7.089 0.000 0.000 0.000 7.089" Properties=species:S:1:pos:R:3 comment="YCdSe2 | Alexandria | meta-GGA SCAN | single point on PBEsol structure" final_energy_ev_per_atom=-25.137 spacegroup="F-43m, No. 216" pbc="T T T"
Y 0.000 0.000 0.000
Y 0.000 3.544 3.544
Y 3.544 0.000 3.544
Y 3.544 3.544 0.000
Cd 1.772 1.772 1.772
Cd 1.772 5.317 5.317
Cd 5.317 1.772 5.317
Cd 5.317 5.317 1.772
Se 0.000 0.000 3.544
Se 0.000 3.544 0.000
Se 1.772 1.772 5.317
Se 1.772 5.317 1.772
Se 3.544 0.000 0.000
Se 3.544 3.544 3.544
Se 5.317 1.772 1.772
Se 5.317 5.317 5.317